Here is a crystal of Mg2InPb relaxed with PBEsol from the Alexandria database. Energies are from SCAN.

Structure (CIF):
```
data_Mg2InPb
_space_group_name_H-M_alt 'C 1 2/m 1'
_space_group_IT_number 12
_space_group_name_Hall '-C 2y'
_cell_length_a 6.7837
_cell_length_b 8.5496
_cell_length_c 3.3079
_cell_angle_alpha 90.00
_cell_angle_beta 90.16
_cell_angle_gamma 90.00
loop_
_atom_site_label
_atom_site_type_symbol
_atom_site_fract_x
_atom_site_fract_y
_atom_site_fract_z
Mg1 Mg 0.2500 0.2500 0.0000
In1 In 0.0000 0.0000 0.5000
Pb1 Pb 0.0000 0.5000 0.5000
```

## Properties
Density of states at the Fermi level   0.3912 states/eV per atom
Formation energy   -160 meV/atom
Calculated total energy   -239.5 eV/cell
Total magnetic moment   0.00 μB/f.u.


Here is a crystal of MgIn2Pb relaxed with PBEsol from the Alexandria database. Energies are from SCAN.

Structure (CIF):
```
data_MgIn2Pb
_space_group_name_H-M_alt 'I m m 2'
_space_group_IT_number 44
_space_group_name_Hall 'I 2 -2'
_cell_length_a 3.6361
_cell_length_b 5.3642
_cell_length_c 10.5395
_cell_angle_alpha 90.00
_cell_angle_beta 90.00
_cell_angle_gamma 90.00
loop_
_atom_site_label
_atom_site_type_symbol
_atom_site_fract_x
_atom_site_fract_y
_atom_site_fract_z
Mg1 Mg 0.0000 0.0000 0.0000
In1 In 0.0000 0.0000 0.5123
In2 In 0.0000 0.5000 0.2621
Pb1 Pb 0.0000 0.5000 0.7495
```

## Properties
Density of states at the Fermi level   0.4650 states/eV per atom
Formation energy   3 meV/atom
Calculated total energy   -295.0 eV/cell
Total magnetic moment   0.00 μB/f.u.


Here is a crystal of MgIn2Pb relaxed with PBEsol from the Alexandria database. Energies are from SCAN.

Structure (CIF):
```
data_MgIn2Pb
_space_group_name_H-M_alt 'P 4 m m'
_space_group_IT_number 99
_space_group_name_Hall 'P 4 -2'
_cell_length_a 3.4050
_cell_length_b 3.4050
_cell_length_c 8.7717
_cell_angle_alpha 90.00
_cell_angle_beta 90.00
_cell_angle_gamma 90.00
loop_
_atom_site_label
_atom_site_type_symbol
_atom_site_fract_x
_atom_site_fract_y
_atom_site_fract_z
Mg1 Mg 0.0000 0.0000 0.0000
In1 In 0.0000 0.0000 0.4807
In2 In 0.5000 0.5000 0.2271
Pb1 Pb 0.5000 0.5000 0.7551
```

## Properties
Density of states at the Fermi level   0.4415 states/eV per atom
Formation energy   -48 meV/atom
Calculated total energy   -147.7 eV/cell
Total magnetic moment   0.00 μB/f.u.


Here is a crystal of Mg2InPb relaxed with PBEsol from the Alexandria database. Energies are from SCAN.

Structure (CIF):
```
data_Mg2InPb
_space_group_name_H-M_alt 'I 4/m m m'
_space_group_IT_number 139
_space_group_name_Hall '-I 4 2'
_cell_length_a 4.7280
_cell_length_b 4.7280
_cell_length_c 8.5778
_cell_angle_alpha 90.00
_cell_angle_beta 90.00
_cell_angle_gamma 90.00
loop_
_atom_site_label
_atom_site_type_symbol
_atom_site_fract_x
_atom_site_fract_y
_atom_site_fract_z
Mg1 Mg 0.0000 0.5000 0.2500
In1 In 0.0000 0.0000 0.0000
Pb1 Pb 0.0000 0.0000 0.5000
```

## Properties
Density of states at the Fermi level   0.3799 states/eV per atom
Formation energy   -161 meV/atom
Calculated total energy   -239.5 eV/cell
Total magnetic moment   0.00 μB/f.u.


Here is a crystal of Mg4InPb relaxed with PBEsol from the Alexandria database. Energies are from SCAN.

Structure (CIF):
```
data_Mg4InPb
_space_group_name_H-M_alt 'F -4 3 m'
_space_group_IT_number 216
_space_group_name_Hall 'F -4 2 3'
_cell_length_a 8.3322
_cell_length_b 8.3322
_cell_length_c 8.3322
_cell_angle_alpha 90.00
_cell_angle_beta 90.00
_cell_angle_gamma 90.00
loop_
_atom_site_label
_atom_site_type_symbol
_atom_site_fract_x
_atom_site_fract_y
_atom_site_fract_z
Mg1 Mg 0.1249 0.1249 0.1249
In1 In 0.2500 0.2500 0.7500
Pb1 Pb 0.0000 0.0000 0.5000
```

## Properties
Density of states at the Fermi level   0.4363 states/eV per atom
Formation energy   -1 meV/atom
Calculated total energy   -516.3 eV/cell
Total magnetic moment   0.00 μB/f.u.


Here is a crystal of Mg2InPb relaxed with PBEsol from the Alexandria database. Energies are from SCAN.

Structure (CIF):
```
data_Mg2InPb
_space_group_name_H-M_alt 'I m m m'
_space_group_IT_number 71
_space_group_name_Hall '-I 2 2'
_cell_length_a 3.6737
_cell_length_b 5.5324
_cell_length_c 9.7696
_cell_angle_alpha 90.00
_cell_angle_beta 90.00
_cell_angle_gamma 90.00
loop_
_atom_site_label
_atom_site_type_symbol
_atom_site_fract_x
_atom_site_fract_y
_atom_site_fract_z
Mg1 Mg 0.0000 0.0000 0.2448
In1 In 0.0000 0.5000 0.5000
Pb1 Pb 0.0000 0.5000 0.0000
```

## Properties
Density of states at the Fermi level   0.3946 states/eV per atom
Formation energy   -63 meV/atom
Calculated total energy   -238.7 eV/cell
Total magnetic moment   0.00 μB/f.u.


Here is a crystal of MgIn2Pb relaxed with PBEsol from the Alexandria database. Energies are from SCAN.

Structure (CIF):
```
data_MgIn2Pb
_space_group_name_H-M_alt 'P 4 m m'
_space_group_IT_number 99
_space_group_name_Hall 'P 4 -2'
_cell_length_a 3.6022
_cell_length_b 3.6022
_cell_length_c 7.8678
_cell_angle_alpha 90.00
_cell_angle_beta 90.00
_cell_angle_gamma 90.00
loop_
_atom_site_label
_atom_site_type_symbol
_atom_site_fract_x
_atom_site_fract_y
_atom_site_fract_z
Mg1 Mg 0.0000 0.0000 0.0000
In1 In 0.0000 0.0000 0.5299
In2 In 0.5000 0.5000 0.7765
Pb1 Pb 0.5000 0.5000 0.2490
```

## Properties
Density of states at the Fermi level   0.3706 states/eV per atom
Formation energy   -30 meV/atom
Calculated total energy   -147.6 eV/cell
Total magnetic moment   0.00 μB/f.u.


Here is a crystal of Mg2InPb relaxed with PBEsol from the Alexandria database. Energies are from SCAN.

Structure (CIF):
```
data_Mg2InPb
_space_group_name_H-M_alt 'P 4/m m m'
_space_group_IT_number 123
_space_group_name_Hall '-P 4 2'
_cell_length_a 3.3571
_cell_length_b 3.3571
_cell_length_c 8.4851
_cell_angle_alpha 90.00
_cell_angle_beta 90.00
_cell_angle_gamma 90.00
loop_
_atom_site_label
_atom_site_type_symbol
_atom_site_fract_x
_atom_site_fract_y
_atom_site_fract_z
Mg1 Mg 0.0000 0.0000 0.2395
In1 In 0.5000 0.5000 0.0000
Pb1 Pb 0.5000 0.5000 0.5000
```

## Properties
Density of states at the Fermi level   0.3621 states/eV per atom
Formation energy   -164 meV/atom
Calculated total energy   -119.8 eV/cell
Total magnetic moment   0.00 μB/f.u.


Here is a crystal of Mg2InPb relaxed with PBEsol from the Alexandria database. Energies are from SCAN.

Structure (CIF):
```
data_Mg2InPb
_space_group_name_H-M_alt 'P m m m'
_space_group_IT_number 47
_space_group_name_Hall '-P 2 2'
_cell_length_a 3.3213
_cell_length_b 4.2682
_cell_length_c 6.7712
_cell_angle_alpha 90.00
_cell_angle_beta 90.00
_cell_angle_gamma 90.00
loop_
_atom_site_label
_atom_site_type_symbol
_atom_site_fract_x
_atom_site_fract_y
_atom_site_fract_z
Mg1 Mg 0.0000 0.0000 0.2387
In1 In 0.5000 0.5000 0.0000
Pb1 Pb 0.5000 0.5000 0.5000
```

## Properties
Density of states at the Fermi level   0.3708 states/eV per atom
Formation energy   -164 meV/atom
Calculated total energy   -119.8 eV/cell
Total magnetic moment   0.00 μB/f.u.


Here is a crystal of Mg2InPb relaxed with PBEsol from the Alexandria database. Energies are from SCAN.

Structure (CIF):
```
data_Mg2InPb
_space_group_name_H-M_alt 'P 4 m m'
_space_group_IT_number 99
_space_group_name_Hall 'P 4 -2'
_cell_length_a 3.8937
_cell_length_b 3.8937
_cell_length_c 6.4972
_cell_angle_alpha 90.00
_cell_angle_beta 90.00
_cell_angle_gamma 90.00
loop_
_atom_site_label
_atom_site_type_symbol
_atom_site_fract_x
_atom_site_fract_y
_atom_site_fract_z
Mg1 Mg 0.0000 0.0000 0.0000
Mg2 Mg 0.5000 0.5000 0.2558
In1 In 0.5000 0.5000 0.7758
Pb1 Pb 0.0000 0.0000 0.4964
```

## Properties
Density of states at the Fermi level   0.5515 states/eV per atom
Formation energy   -70 meV/atom
Calculated total energy   -119.4 eV/cell
Total magnetic moment   0.00 μB/f.u.


Here is a crystal of MgIn2Pb relaxed with PBEsol from the Alexandria database. Energies are from SCAN.

Structure (CIF):
```
data_MgIn2Pb
_space_group_name_H-M_alt 'R -3 m'
_space_group_IT_number 166
_space_group_name_Hall '-R 3 2"'
_cell_length_a 3.3736
_cell_length_b 3.3736
_cell_length_c 31.3012
_cell_angle_alpha 90.00
_cell_angle_beta 90.00
_cell_angle_gamma 120.00
loop_
_atom_site_label
_atom_site_type_symbol
_atom_site_fract_x
_atom_site_fract_y
_atom_site_fract_z
Mg1 Mg 0.0000 0.0000 0.0000
In1 In 0.0000 0.0000 0.2555
Pb1 Pb 0.0000 0.0000 0.5000
```

## Properties
Density of states at the Fermi level   0.4406 states/eV per atom
Formation energy   -20 meV/atom
Calculated total energy   -442.8 eV/cell
Total magnetic moment   0.00 μB/f.u.


Here is a crystal of Mg2InPb relaxed with PBEsol from the Alexandria database. Energies are from SCAN.

Structure (CIF):
```
data_Mg2InPb
_space_group_name_H-M_alt 'P m m 2'
_space_group_IT_number 25
_space_group_name_Hall 'P 2 -2'
_cell_length_a 3.3124
_cell_length_b 5.3914
_cell_length_c 5.4062
_cell_angle_alpha 90.00
_cell_angle_beta 90.00
_cell_angle_gamma 90.00
loop_
_atom_site_label
_atom_site_type_symbol
_atom_site_fract_x
_atom_site_fract_y
_atom_site_fract_z
Mg1 Mg 0.0000 0.0000 0.0000
Mg2 Mg 0.0000 0.5000 0.3981
In1 In 0.5000 0.5000 0.9067
Pb1 Pb 0.5000 0.0000 0.5004
```

## Properties
Density of states at the Fermi level   0.3744 states/eV per atom
Formation energy   -143 meV/atom
Calculated total energy   -119.7 eV/cell
Total magnetic moment   0.00 μB/f.u.


Here is a crystal of Mg2InPb relaxed with PBEsol from the Alexandria database. Energies are from SCAN.

Structure (CIF):
```
data_Mg2InPb
_space_group_name_H-M_alt 'R -3 m'
_space_group_IT_number 166
_space_group_name_Hall '-R 3 2"'
_cell_length_a 3.3728
_cell_length_b 3.3728
_cell_length_c 29.5670
_cell_angle_alpha 90.00
_cell_angle_beta 90.00
_cell_angle_gamma 120.00
loop_
_atom_site_label
_atom_site_type_symbol
_atom_site_fract_x
_atom_site_fract_y
_atom_site_fract_z
Mg1 Mg 0.0000 0.0000 0.2472
In1 In 0.0000 0.0000 0.5000
Pb1 Pb 0.0000 0.0000 0.0000
```

## Properties
Density of states at the Fermi level   0.3657 states/eV per atom
Formation energy   -128 meV/atom
Calculated total energy   -358.9 eV/cell
Total magnetic moment   0.03 μB/f.u.


Here is a crystal of Mg2InPb relaxed with PBEsol from the Alexandria database. Energies are from SCAN.

Structure (CIF):
```
data_Mg2InPb
_space_group_name_H-M_alt 'I m m 2'
_space_group_IT_number 44
_space_group_name_Hall 'I 2 -2'
_cell_length_a 3.7567
_cell_length_b 4.9517
_cell_length_c 10.5102
_cell_angle_alpha 90.00
_cell_angle_beta 90.00
_cell_angle_gamma 90.00
loop_
_atom_site_label
_atom_site_type_symbol
_atom_site_fract_x
_atom_site_fract_y
_atom_site_fract_z
Mg1 Mg 0.0000 0.0000 0.0000
Mg2 Mg 0.0000 0.5000 0.2488
In1 In 0.0000 0.5000 0.7411
Pb1 Pb 0.0000 0.0000 0.4973
```

## Properties
Density of states at the Fermi level   0.3757 states/eV per atom
Formation energy   -97 meV/atom
Calculated total energy   -239.0 eV/cell
Total magnetic moment   0.00 μB/f.u.


Here is a crystal of Mg2InPb relaxed with PBEsol from the Alexandria database. Energies are from SCAN.

Structure (CIF):
```
data_Mg2InPb
_space_group_name_H-M_alt 'I -4 m 2'
_space_group_IT_number 119
_space_group_name_Hall 'I -4 -2'
_cell_length_a 4.4520
_cell_length_b 4.4520
_cell_length_c 9.7644
_cell_angle_alpha 90.00
_cell_angle_beta 90.00
_cell_angle_gamma 90.00
loop_
_atom_site_label
_atom_site_type_symbol
_atom_site_fract_x
_atom_site_fract_y
_atom_site_fract_z
Mg1 Mg 0.0000 0.0000 0.0000
Mg2 Mg 0.0000 0.5000 0.2500
In1 In 0.0000 0.5000 0.7500
Pb1 Pb 0.0000 0.0000 0.5000
```

## Properties
Density of states at the Fermi level   0.3891 states/eV per atom
Formation energy   -142 meV/atom
Calculated total energy   -239.4 eV/cell
Total magnetic moment   0.00 μB/f.u.


Here is a crystal of MgIn2Pb relaxed with PBEsol from the Alexandria database. Energies are from SCAN.

Structure (CIF):
```
data_MgIn2Pb
_space_group_name_H-M_alt 'F -4 3 m'
_space_group_IT_number 216
_space_group_name_Hall 'F -4 2 3'
_cell_length_a 7.4461
_cell_length_b 7.4461
_cell_length_c 7.4461
_cell_angle_alpha 90.00
_cell_angle_beta 90.00
_cell_angle_gamma 90.00
loop_
_atom_site_label
_atom_site_type_symbol
_atom_site_fract_x
_atom_site_fract_y
_atom_site_fract_z
Mg1 Mg 0.0000 0.0000 0.0000
In1 In 0.0000 0.0000 0.5000
In2 In 0.2500 0.2500 0.7500
Pb1 Pb 0.2500 0.2500 0.2500
```

## Properties
Density of states at the Fermi level   0.3363 states/eV per atom
Formation energy   11 meV/atom
Calculated total energy   -589.9 eV/cell
Total magnetic moment   0.00 μB/f.u.


Here is a crystal of MgIn2Pb relaxed with PBEsol from the Alexandria database. Energies are from SCAN.

Structure (CIF):
```
data_MgIn2Pb
_space_group_name_H-M_alt 'I 4/m m m'
_space_group_IT_number 139
_space_group_name_Hall '-I 4 2'
_cell_length_a 4.5010
_cell_length_b 4.5010
_cell_length_c 9.9980
_cell_angle_alpha 90.00
_cell_angle_beta 90.00
_cell_angle_gamma 90.00
loop_
_atom_site_label
_atom_site_type_symbol
_atom_site_fract_x
_atom_site_fract_y
_atom_site_fract_z
Mg1 Mg 0.0000 0.0000 0.0000
In1 In 0.0000 0.5000 0.2500
Pb1 Pb 0.0000 0.0000 0.5000
```

## Properties
Density of states at the Fermi level   0.3746 states/eV per atom
Formation energy   -48 meV/atom
Calculated total energy   -295.4 eV/cell
Total magnetic moment   0.00 μB/f.u.


Here is a crystal of MgIn2Pb relaxed with PBEsol from the Alexandria database. Energies are from SCAN.

Structure (CIF):
```
data_MgIn2Pb
_space_group_name_H-M_alt 'I -4 m 2'
_space_group_IT_number 119
_space_group_name_Hall 'I -4 -2'
_cell_length_a 4.6989
_cell_length_b 4.6989
_cell_length_c 9.1989
_cell_angle_alpha 90.00
_cell_angle_beta 90.00
_cell_angle_gamma 90.00
loop_
_atom_site_label
_atom_site_type_symbol
_atom_site_fract_x
_atom_site_fract_y
_atom_site_fract_z
Mg1 Mg 0.0000 0.0000 0.0000
In1 In 0.0000 0.0000 0.5000
In2 In 0.0000 0.5000 0.7500
Pb1 Pb 0.0000 0.5000 0.2500
```

## Properties
Density of states at the Fermi level   0.4403 states/eV per atom
Formation energy   -32 meV/atom
Calculated total energy   -295.3 eV/cell
Total magnetic moment   0.00 μB/f.u.


Here is a crystal of MgIn2Pb relaxed with PBEsol from the Alexandria database. Energies are from SCAN.

Structure (CIF):
```
data_MgIn2Pb
_space_group_name_H-M_alt 'P m m 2'
_space_group_IT_number 25
_space_group_name_Hall 'P 2 -2'
_cell_length_a 3.4316
_cell_length_b 4.4068
_cell_length_c 6.7273
_cell_angle_alpha 90.00
_cell_angle_beta 90.00
_cell_angle_gamma 90.00
loop_
_atom_site_label
_atom_site_type_symbol
_atom_site_fract_x
_atom_site_fract_y
_atom_site_fract_z
Mg1 Mg 0.0000 0.0000 0.0000
In1 In 0.0000 0.0000 0.5217
In2 In 0.5000 0.5000 0.7628
Pb1 Pb 0.5000 0.5000 0.2507
```

## Properties
Density of states at the Fermi level   0.4414 states/eV per atom
Formation energy   -39 meV/atom
Calculated total energy   -147.7 eV/cell
Total magnetic moment   0.00 μB/f.u.


Here is a crystal of MgInPb relaxed with PBEsol from the Alexandria database. Energies are from SCAN.

Structure (CIF):
```
data_MgInPb
_space_group_name_H-M_alt 'F m m 2'
_space_group_IT_number 42
_space_group_name_Hall 'F 2 -2'
_cell_length_a 3.7000
_cell_length_b 5.4823
_cell_length_c 15.3943
_cell_angle_alpha 90.00
_cell_angle_beta 90.00
_cell_angle_gamma 90.00
loop_
_atom_site_label
_atom_site_type_symbol
_atom_site_fract_x
_atom_site_fract_y
_atom_site_fract_z
Mg1 Mg 0.0000 0.0000 0.0000
In1 In 0.0000 0.0000 0.3431
Pb1 Pb 0.0000 0.0000 0.6652
```

## Properties
Density of states at the Fermi level   0.3627 states/eV per atom
Formation energy   -12 meV/atom
Calculated total energy   -456.7 eV/cell
Total magnetic moment   0.00 μB/f.u.